TmPuGaSi | PBE | optimized geometry

Cell: 4.9520 4.9520 4.9520 Å, 60.00 60.00 60.00°
Closest atoms and distances in Å follow each position.
Atoms (fractional coordinates):
Ga  0.0000  0.0000  0.0000  4 Tm 3.03, 4 Pu 3.03
Si  0.5000  0.5000  0.5000  4 Tm 3.03, 4 Pu 3.03
Tm  0.2500  0.2500  0.2500  4 Si 3.03, 4 Ga 3.03
Pu  0.7500  0.7500  0.7500  4 Si 3.03, 4 Ga 3.03

Values from the calculation:
Its crystal system is cubic. The calculation puts the electronic total energy at -28.9 eV for the cell shown. Its density of states at the Fermi level is 8.2 states/eV per cell. The total magnetization comes out at 5.44 μB per formula unit.